Below is an optimized crystal structure of Sr11In9Hg4, with properties calculated at the PBE level.

Summary:
formation enthalpy at 0 K = -0.443 eV per atom

Lattice parameters (Å, degrees): 15.9768 23.9913 4.0853 90.00 90.00 90.00
Space group Cmmm (No. 65)
Asymmetric unit:
1 Sr 0.0000 0.0000 0.0000 [2 per cell]
2 Sr 0.0000 0.1622 0.0000 [4 per cell]
3 Sr 0.0000 0.3661 0.0000 [4 per cell]
4 Sr 0.2108 0.5000 0.0000 [4 per cell]
5 Sr 0.2365 0.1738 0.0000 [8 per cell]
6 In 0.0000 0.5000 0.5000 [2 per cell]
7 In 0.1002 0.2642 0.5000 [8 per cell]
8 In 0.1393 0.0709 0.5000 [8 per cell]
9 Hg 0.1506 0.4013 0.5000 [8 per cell]